Compound: ScCdGe2Te
Source: Alexandria via LeMat-Bulk
Functional: SCAN
Structure: single point on PBEsol structure

a b c (Å): 4.8888 4.8888 5.5210
angles (deg): 90.00 90.00 90.00
Last column: nearest neighbours and their distance in Å.
Fractional positions:
Ge: 0.0000 0.5000 0.0000  2 Cd 2.44
Ge: 0.5000 0.0000 0.0000  2 Cd 2.44
Sc: 0.0000 0.0000 0.5000  2 Cd 2.76
Cd: 0.0000 0.0000 0.0000  4 Ge 2.44
Te: 0.5000 0.5000 0.5000  4 Sc 3.46, 8 Ge 3.69

Results
Its symmetry is P4/mmm (123). The raw formation energy is 469 meV per atom. As for the density of states at the Fermi level: 0.55 states/eV per atom. As for the crystal system: tetragonal.